1.
! K12Se5Cl3, optimized geometry, DFT GGA-PBE; values from VASP
&SYSTEM
  ibrav = 0, nat = 80, ntyp = 3
/
ATOMIC_SPECIES
K 39.10 K.upf
Se 78.96 Se.upf
Cl 35.45 Cl.upf
CELL_PARAMETERS angstrom
-0.280 -16.563 -0.805
8.402 6.024 -12.968
7.408 4.727 14.065
ATOMIC_POSITIONS angstrom
K 2.647 -5.285 3.650
K 4.923 -11.502 7.003
K 13.711 3.093 -1.734
K 3.838 0.809 -4.217
K 10.494 6.391 2.094
K 10.424 -2.648 -5.936
K 9.359 1.638 6.221
K 9.070 2.552 1.441
K 14.433 5.199 1.765
K 1.097 -11.011 -1.473
K 7.643 -0.073 -1.298
K 12.456 -6.198 -0.430
K 9.441 -2.667 8.404
K 9.382 -6.922 -8.346
K 9.147 -6.737 7.781
K 10.607 5.690 -6.711
K 7.646 2.045 12.370
K 5.491 -10.792 2.071
K 7.884 -7.857 -12.078
K 9.684 5.749 6.014
K 10.039 4.980 -1.778
K 6.383 0.925 -7.489
K 4.249 -3.295 -4.399
K 7.955 -3.897 -2.871
K 3.075 0.386 0.722
K 2.552 -7.132 -1.650
K 8.374 4.748 -10.053
K 12.978 1.320 1.942
K 11.281 -2.517 4.691
K 7.156 -10.560 10.346
K 5.107 -3.164 6.228
K 10.883 -2.464 -0.309
K 11.692 -6.621 4.509
K 5.036 -12.203 -1.802
K 9.406 1.209 -4.804
K 1.819 -8.905 2.026
K 6.148 1.110 8.638
K 7.575 -1.915 3.164
K 6.124 -7.021 5.096
K 5.847 -11.561 -5.721
K 6.460 -8.364 -1.148
K 6.089 -3.146 -8.112
K 4.647 -3.348 0.601
K 10.691 -7.827 -3.788
K 12.883 -0.527 -3.357
K 6.171 -7.451 -5.929
K 7.888 -5.739 1.590
K 4.839 2.015 4.081
Se 9.045 4.220 -4.552
Se 3.704 2.364 7.033
Se 7.820 -6.885 -3.434
Se 6.486 -10.032 4.845
Se 4.201 3.012 -6.484
Se 7.322 -7.533 10.083
Se 4.061 -5.270 -6.887
Se 8.208 1.721 -9.790
Se 6.501 -1.913 8.626
Se 4.968 1.370 -1.447
Se 3.564 -5.918 6.630
Se 0.000 0.000 0.000
Se 9.029 -3.899 -8.334
Se 2.922 -4.114 -1.786
Se 7.765 -2.906 0.146
Se 7.711 1.073 3.727
Se 10.563 -7.182 1.740
Se 12.609 -1.698 2.078
Se -0.140 -8.282 -0.402
Se 7.905 5.375 0.549
Cl 8.532 -4.548 5.183
Cl 8.548 3.572 8.965
Cl 6.998 -1.265 -4.891
Cl 3.758 -1.615 3.452
Cl 11.772 -4.197 -3.160
Cl 3.867 -9.572 -3.708
Cl 11.663 3.760 4.001
Cl 2.657 -12.558 1.191
Cl 10.827 1.261 -1.237
Cl 4.704 -7.073 1.530
Cl 6.983 -9.384 -8.672
Cl 12.873 6.746 -0.899
! **Uncorrected formation energy**: -1125 meV/atom
! **M_tot**: 5.49 μB per cell

***

2.
! KSeCl, optimized geometry, DFT GGA-PBE; values from VASP
&SYSTEM
  ibrav = 0, nat = 3, ntyp = 3
/
ATOMIC_SPECIES
Cl 35.45 Cl.upf
K 39.10 K.upf
Se 78.96 Se.upf
CELL_PARAMETERS angstrom
6.365 -0.034 0.011
2.992 5.618 -0.011
-4.682 -2.785 3.291
ATOMIC_POSITIONS angstrom
Cl 0.438 0.262 0.000
K 6.541 3.904 0.000
Se 2.377 1.419 0.000
! **Uncorrected formation energy**: -776 meV/atom
! **Excess energy over the best structure of this formula in the dataset**: 288 meV/atom
! **M_tot**: 0.00 μB per cell

***

3.
! K3SeCl, optimized geometry, DFT GGA-PBE; values from VASP
&SYSTEM
  ibrav = 0, nat = 5, ntyp = 3
/
ATOMIC_SPECIES
Se 78.96 Se.upf
K 39.10 K.upf
Cl 35.45 Cl.upf
CELL_PARAMETERS angstrom
-5.245 1.875 2.685
2.682 -0.450 5.554
1.880 5.876 -0.432
ATOMIC_POSITIONS angstrom
Se 0.000 0.000 0.000
K 1.341 -0.225 2.777
K 0.940 2.938 -0.216
K -2.623 0.938 1.343
Cl -0.342 3.650 3.904
! **Uncorrected formation energy**: -1216 meV/atom
! **Excess energy over the best structure of this formula in the dataset**: 0 meV/atom
! **M_tot**: 0.00 μB per cell

***

4.
! K2Se2Cl7, optimized geometry, DFT GGA-PBE; values from VASP
&SYSTEM
  ibrav = 0, nat = 11, ntyp = 3
/
ATOMIC_SPECIES
Cl 35.45 Cl.upf
Se 78.96 Se.upf
K 39.10 K.upf
CELL_PARAMETERS angstrom
7.332 0.032 0.036
-0.492 7.341 -0.217
-0.492 -1.192 7.247
ATOMIC_POSITIONS angstrom
Cl 1.578 0.205 2.991
Cl 5.618 1.875 2.143
Cl 1.578 2.937 0.601
Cl 4.770 3.243 6.465
Cl 4.770 5.976 4.075
Cl 0.730 4.306 4.923
Cl 3.666 0.016 0.018
Se 3.288 1.637 1.872
Se 3.059 4.543 5.194
K -0.492 1.169 5.181
K -0.492 4.980 1.848
! **Uncorrected formation energy**: -748 meV/atom
! **M_tot**: 1.01 μB per cell

***

5.
! KSeCl, optimized geometry, DFT GGA-PBE; values from VASP
&SYSTEM
  ibrav = 0, nat = 3, ntyp = 3
/
ATOMIC_SPECIES
Se 78.96 Se.upf
Cl 35.45 Cl.upf
K 39.10 K.upf
CELL_PARAMETERS angstrom
6.992 0.004 -0.004
6.095 3.428 0.000
0.897 0.235 3.417
ATOMIC_POSITIONS angstrom
Se 8.909 2.336 1.169
Cl 12.899 3.383 0.049
K 5.264 1.380 2.191
! **Uncorrected formation energy**: -458 meV/atom
! **Excess energy over the best structure of this formula in the dataset**: 605 meV/atom
! **M_tot**: 0.20 μB per cell

***

6.
! KSeCl, optimized geometry, DFT GGA-PBE; values from VASP
&SYSTEM
  ibrav = 0, nat = 6, ntyp = 3
/
ATOMIC_SPECIES
Se 78.96 Se.upf
K 39.10 K.upf
Cl 35.45 Cl.upf
CELL_PARAMETERS angstrom
-4.489 -2.894 -0.475
0.532 -3.563 3.278
-6.033 4.820 3.630
ATOMIC_POSITIONS angstrom
Se -7.213 1.798 2.801
Se -8.932 0.227 2.996
K -5.319 -0.973 3.102
K -1.257 -3.260 2.533
Cl -3.532 1.361 1.759
Cl -4.287 -3.389 1.235
! **Uncorrected formation energy**: -1063 meV/atom
! **Excess energy over the best structure of this formula in the dataset**: 0 meV/atom
! **M_tot**: 0.00 μB per cell

***

7.
! KSe2Cl4, optimized geometry, DFT GGA-PBE; values from VASP
&SYSTEM
  ibrav = 0, nat = 14, ntyp = 3
/
ATOMIC_SPECIES
Cl 35.45 Cl.upf
Se 78.96 Se.upf
K 39.10 K.upf
CELL_PARAMETERS angstrom
-7.997 -2.538 1.168
2.929 2.782 7.685
-4.317 6.707 3.430
ATOMIC_POSITIONS angstrom
Cl -5.277 3.478 3.399
Cl -9.188 2.898 4.285
Cl 0.060 2.301 5.948
Cl -3.725 0.861 5.825
Cl -6.096 0.181 1.752
Cl -6.628 3.124 7.989
Cl -2.283 -0.108 2.476
Cl -3.011 5.577 6.346
Se -3.192 3.215 5.938
Se -6.105 3.135 5.643
Se -1.513 2.859 7.678
Se -7.958 4.692 5.308
K -5.039 5.847 8.921
K -5.067 0.243 8.853
! **Uncorrected formation energy**: -682 meV/atom
! **M_tot**: 2.09 μB per cell

***

8.
! K3SeCl6, optimized geometry, DFT GGA-PBE; values from VASP
&SYSTEM
  ibrav = 0, nat = 20, ntyp = 3
/
ATOMIC_SPECIES
K 39.10 K.upf
Se 78.96 Se.upf
Cl 35.45 Cl.upf
CELL_PARAMETERS angstrom
-0.940 -7.149 -1.902
2.854 -2.134 6.609
-10.411 1.575 5.005
ATOMIC_POSITIONS angstrom
K -7.695 -6.758 4.767
K -5.205 0.788 2.502
K -0.800 -0.950 4.945
K -5.477 -4.484 8.809
K -3.019 -3.224 0.903
K 0.957 -4.642 2.354
Se 0.000 0.000 0.000
Se -4.248 -3.854 4.856
Cl -4.779 -5.989 5.880
Cl -5.793 -4.326 3.042
Cl -0.590 -7.975 5.911
Cl -1.943 -5.012 3.187
Cl -2.703 -3.382 6.670
Cl 1.330 -3.527 5.334
Cl -7.905 0.268 3.800
Cl 0.013 -1.637 1.795
Cl -6.553 -2.696 6.525
Cl -8.509 -6.070 7.917
Cl -9.826 -4.181 4.378
Cl -3.717 -1.718 3.832
! **Uncorrected formation energy**: -1244 meV/atom
! **M_tot**: 2.01 μB per cell

***

9.
! KSe3Cl, optimized geometry, DFT GGA-PBE; values from VASP
&SYSTEM
  ibrav = 0, nat = 5, ntyp = 3
/
ATOMIC_SPECIES
Se 78.96 Se.upf
Cl 35.45 Cl.upf
K 39.10 K.upf
CELL_PARAMETERS angstrom
-4.819 0.139 -1.917
-1.353 -3.921 3.117
-1.365 3.395 3.678
ATOMIC_POSITIONS angstrom
Se -0.683 1.698 1.839
Se -0.676 -1.960 1.559
Se -2.410 0.069 -0.959
Cl 0.000 0.000 0.000
K -3.769 -0.193 2.439
! **Uncorrected formation energy**: 200 meV/atom
! **Excess energy over the best structure of this formula in the dataset**: 0 meV/atom
! **M_tot**: 0.00 μB per cell

***

10.
! KSnSeCl2, optimized geometry, DFT GGA-PBE; values from VASP
&SYSTEM
  ibrav = 0, nat = 5, ntyp = 4
/
ATOMIC_SPECIES
K 39.10 K.upf
Cl 35.45 Cl.upf
Sn 118.71 Sn.upf
Se 78.96 Se.upf
CELL_PARAMETERS angstrom
5.469 0.000 0.000
0.000 5.469 0.000
0.000 0.000 5.279
ATOMIC_POSITIONS angstrom
K 2.735 2.735 2.639
Cl 2.735 0.000 0.000
Cl 0.000 2.735 0.000
Sn 0.000 0.000 0.000
Se 0.000 0.000 2.639
! **Uncorrected formation energy**: -1017 meV/atom
! **M_tot**: 0.00 μB per cell

***

11.
! KSrSeCl, optimized geometry, DFT GGA-PBE; values from VASP
&SYSTEM
  ibrav = 0, nat = 4, ntyp = 4
/
ATOMIC_SPECIES
K 39.10 K.upf
Sr 87.62 Sr.upf
Se 78.96 Se.upf
Cl 35.45 Cl.upf
CELL_PARAMETERS angstrom
4.513 0.000 0.000
2.256 3.908 0.000
2.256 1.303 7.476
ATOMIC_POSITIONS angstrom
K 4.513 2.605 3.645
Sr 6.769 3.908 0.127
Se 2.256 1.303 1.651
Cl 6.769 3.908 5.791
! **Uncorrected formation energy**: -1918 meV/atom
! **M_tot**: 0.00 μB per cell

***

12.
! KTc2SeCl, optimized geometry, DFT GGA-PBE; values from VASP
&SYSTEM
  ibrav = 0, nat = 5, ntyp = 4
/
ATOMIC_SPECIES
Cl 35.45 Cl.upf
Se 78.96 Se.upf
K 39.10 K.upf
Tc 98.00 Tc.upf
CELL_PARAMETERS angstrom
4.646 0.000 0.000
0.000 7.347 0.000
0.000 0.000 4.646
ATOMIC_POSITIONS angstrom
Cl 2.323 3.673 2.323
Se 0.000 0.000 0.000
K 0.000 3.673 0.000
Tc 0.000 0.000 2.323
Tc 2.323 0.000 0.000
! **Uncorrected formation energy**: 518 meV/atom
! **M_tot**: 4.53 μB per cell